Record 1
Density functional theory data (PBE) for a relaxed La2FeRu crystal.

Its crystal system is orthorhombic. The calculation puts the formation enthalpy at 0 K at 100.2 meV per atom. The uncorrected energy comes out at -54.4 eV per cell.

It has space group Imm2 (No. 44), with a = 3.9821 Å, b = 4.5353 Å, c = 11.0060 Å, α = 90.00°, β = 90.00° and γ = 90.00°. The distinct sites, in fractional coordinates, are La at (0.0000, 0.0000, 0.0000), La at (0.0000, 0.5000, 0.2168), Fe at (0.0000, 0.0000, 0.4057) and Ru at (0.0000, 0.5000, 0.8147).

Record 2
Density functional theory data (PBE) for a relaxed Rb2AgPF6 crystal.

Its crystal system is cubic. The uncorrected energy comes out at -169.8 eV per cell. The calculation puts the energy relative to the elements, uncorrected at -2.102 eV/atom.

It has space group Fm-3m (No. 225), with a = 8.8843 Å, b = 8.8843 Å, c = 8.8843 Å, α = 90.00°, β = 90.00° and γ = 90.00°. The distinct sites, in fractional coordinates, are Rb at (0.2500, 0.2500, 0.2500), Ag at (0.0000, 0.0000, 0.0000), P at (0.0000, 0.0000, 0.5000) and F at (0.0000, 0.0000, 0.2769).

Record 3
Density functional theory data (PBE) for a relaxed Na3Dy3NpS8 crystal.

Its crystal system is trigonal. The uncorrected energy comes out at -268.4 eV per cell. The calculation puts the energy relative to the elements, uncorrected at -1.717 eV/atom.

It has space group R-3m (No. 166, hexagonal axes), with a = 7.9830 Å, b = 7.9830 Å, c = 20.1160 Å, α = 90.00°, β = 90.00° and γ = 120.00°. The distinct sites, in fractional coordinates, are Na at (0.0000, 0.5000, 0.0000), Dy at (0.0000, 0.5000, 0.5000), Np at (0.0000, 0.0000, 0.5000), S at (0.0000, 0.0000, 0.2421) and S at (0.0056, 0.5028, 0.2399).

Record 4
Density functional theory data (PBE) for a relaxed Co2Te2Pb crystal.

Its crystal system is tetragonal. The uncorrected energy comes out at -45.4 eV per cell. The calculation puts the energy relative to the elements, uncorrected at 0.298 eV/atom.

It has space group I4/mmm (No. 139), with a = 4.7908 Å, b = 4.7908 Å, c = 9.2333 Å, α = 90.00°, β = 90.00° and γ = 90.00°. The distinct sites, in fractional coordinates, are Co at (0.0000, 0.0000, 0.1343), Te at (0.0000, 0.5000, 0.2500) and Pb at (0.0000, 0.0000, 0.5000).

Record 5
Density functional theory data (PBE) for a relaxed SrNbAs2Br crystal.

Its crystal system is tetragonal. The uncorrected energy comes out at -17.7 eV per cell. The calculation puts the energy relative to the elements, uncorrected at 1.011 eV/atom.

It has space group P4/mmm (No. 123), with a = 5.5773 Å, b = 5.5773 Å, c = 5.5323 Å, α = 90.00°, β = 90.00° and γ = 90.00°. The distinct sites, in fractional coordinates, are Sr at (0.0000, 0.0000, 0.0000), Nb at (0.5000, 0.5000, 0.5000), As at (0.0000, 0.5000, 0.0000) and Br at (0.0000, 0.0000, 0.5000).

Record 6
Density functional theory data (PBE) for a relaxed Ba5Na5Ca crystal.

Its crystal system is hexagonal. The calculation puts the formation enthalpy at 0 K at 28.7 meV per atom. The uncorrected energy comes out at -17.9 eV per cell.

It has space group P-6m2 (No. 187), with a = 7.0508 Å, b = 7.0508 Å, c = 12.7222 Å, α = 90.00°, β = 90.00° and γ = 120.00°. The distinct sites, in fractional coordinates, are Ba at (0.0000, 0.0000, 0.0000), Ba at (0.3333, 0.6667, 0.1776), Ba at (0.6667, 0.3333, 0.3198), Na at (0.0000, 0.0000, 0.2843), Na at (0.1732, 0.3465, 0.5000) and Ca at (0.6667, 0.3333, 0.0000).

Record 7
Density functional theory data (PBE) for a relaxed CsTcTeN2 crystal.

Its crystal system is tetragonal. The uncorrected energy comes out at -17.6 eV per cell. The calculation puts the energy relative to the elements, uncorrected at 2.676 eV/atom.

It has space group P4/mmm (No. 123), with a = 4.3722 Å, b = 4.3722 Å, c = 7.5721 Å, α = 90.00°, β = 90.00° and γ = 90.00°. The distinct sites, in fractional coordinates, are Cs at (0.0000, 0.0000, 0.0000), Tc at (0.5000, 0.5000, 0.5000), Te at (0.0000, 0.0000, 0.5000) and N at (0.0000, 0.5000, 0.0000).

Record 8
Density functional theory data (PBE) for a relaxed InSbTe3 crystal.

Its crystal system is monoclinic. The uncorrected energy comes out at -34.4 eV per cell. The calculation puts the energy relative to the elements, uncorrected at -0.186 eV/atom.

It has space group P2_1/m (No. 11), with a = 7.2338 Å, b = 4.4184 Å, c = 11.7257 Å, α = 90.00°, β = 97.34° and γ = 90.00°. The distinct sites, in fractional coordinates, are In at (0.0305, 0.2500, 0.2465), Sb at (0.4302, 0.2500, 0.8315), Te at (0.1291, 0.2500, 0.6386), Te at (0.2229, 0.7500, 0.9600) and Te at (0.4135, 0.2500, 0.3151).

Question: The highest uncorrected energy belongs to which entry?
Answer: CsTcTeN2

Question: What is the formula in the sixth record?
Answer: Ba5Na5Ca

Question: What is the uncorrected energy in the third record?
Answer: -268.4 eV per cell

Question: Number 6 is which compound?
Answer: Ba5Na5Ca